(1)
The following is a PBE+U calculation of Dy2HoMoO8 after structural relaxation, from the Alexandria database.

Cell and atoms, written as CIF:
```
data_Dy2HoMoO8
_space_group_name_H-M_alt 'C m m m'
_space_group_IT_number 65
_space_group_name_Hall '-C 2 2'
_cell_length_a 7.101
_cell_length_b 7.197
_cell_length_c 6.781
_cell_angle_alpha 90.00
_cell_angle_beta 90.00
_cell_angle_gamma 90.00
loop_
_atom_site_label
_atom_site_type_symbol
_atom_site_fract_x
_atom_site_fract_y
_atom_site_fract_z
Dy1 Dy 0.000 0.000 0.250
Ho1 Ho 0.000 0.500 0.000
Mo1 Mo 0.000 0.500 0.500
O1 O 0.000 0.317 0.287
O2 O 0.194 0.000 0.000
O3 O 0.226 0.000 0.500
```

Properties
DOS(E_F)	14.83	states/eV per cell



(2)
The following is a PBE+U calculation of CsV2F8 after structural relaxation, from the Alexandria database.

Cell and atoms, written as CIF:
```
data_CsV2F8
_space_group_name_H-M_alt 'C 1 m 1'
_space_group_IT_number 8
_cell_length_a 5.684
_cell_length_b 9.359
_cell_length_c 6.457
_cell_angle_alpha 90.00
_cell_angle_beta 90.83
_cell_angle_gamma 90.00
loop_
_space_group_symop_operation_xyz
'x,y,z'
'x,-y,z'
'x+1/2,y+1/2,z'
'x+1/2,-y+1/2,z'
loop_
_atom_site_label
_atom_site_type_symbol
_atom_site_fract_x
_atom_site_fract_y
_atom_site_fract_z
Cs1 Cs 0.000 0.000 0.000
V1 V 0.469 0.173 0.481
F1 F 0.125 0.136 0.429
F2 F 0.147 0.500 0.380
F3 F 0.271 0.306 0.659
F4 F 0.407 0.000 0.670
F5 F 0.443 0.197 0.196
```

Properties
DOS(E_F)	4.48	states/eV per cell



no.,DFT total energy (eV for the cell shown)
1,-185.4
2,-120.4